Here is a relaxed structure of SrCu2Pt from Alexandria. Energies are from PBEsol.

Cell lengths 4.2858, 4.2858, 5.5673 Å; angles 67.36, 67.36, 60.00 degrees
Last column: nearest neighbours and their distance in Å.
Fractional positions:
Pt (0.5000, 0.5000, 0.5000)  6 Cu 2.50
Sr (0.0000, 0.0000, 0.0000)  2 Cu 2.86
Cu (0.1914, 0.1914, 0.4257)  3 Pt 2.50, 3 Cu 2.58
Cu (0.8086, 0.8086, 0.5743)  3 Pt 2.50, 3 Cu 2.58

Summary:
* energy of formation: -300.0 meV per atom
* offset from the most stable computed form: 2 meV per atom
* uncorrected energy: -4.668 eV/atom